This record from the Alexandria database describes an optimized crystal structure of Ni5As2Se. The functional is PBE.

Values from the calculation:
**Uncorrected formation energy**: -189 meV/atom
**Symmetry**: No. 62

Unit cell a=7.7147 b=3.8407 c=16.2482 alpha=90.00 beta=90.00 gamma=90.00
With the nearest neighbours (Å) after each atom.
Sites, in units of the cell vectors:
Ni 0.1072 0.2500 0.1682  3 As 2.33-2.35, 1 Se 2.41
Ni 0.1176 0.2500 0.5045  1 As 2.36, 3 Se 2.40-2.44
Ni 0.1270 0.2500 0.8362  4 As 2.37-2.38, 4 Ni 2.64
Ni 0.1290 0.2500 0.0042  3 As 2.34, 1 Se 2.39
Ni 0.1395 0.2500 0.3291  3 As 2.32-2.33, 1 Se 2.39
Ni 0.3605 0.7500 0.8291  3 As 2.32-2.33, 1 Se 2.39
Ni 0.3710 0.7500 0.5042  3 As 2.34, 1 Se 2.39
Ni 0.3730 0.7500 0.3362  4 As 2.37-2.38, 4 Ni 2.64
Ni 0.3824 0.7500 0.0045  1 As 2.36, 3 Se 2.40-2.44
Ni 0.3928 0.7500 0.6682  3 As 2.33-2.35, 1 Se 2.41
Ni 0.6072 0.2500 0.3318  3 As 2.33-2.35, 1 Se 2.41
Ni 0.6176 0.2500 0.9955  1 As 2.36, 3 Se 2.40-2.44
Ni 0.6270 0.2500 0.6638  4 As 2.37-2.38, 4 Ni 2.64
Ni 0.6290 0.2500 0.4958  3 As 2.34, 1 Se 2.39
Ni 0.6395 0.2500 0.1709  3 As 2.32-2.33, 1 Se 2.39
Ni 0.8605 0.7500 0.6709  3 As 2.32-2.33, 1 Se 2.39
Ni 0.8710 0.7500 0.9958  3 As 2.34, 1 Se 2.39
Ni 0.8730 0.7500 0.1638  4 As 2.37-2.38, 4 Ni 2.64
Ni 0.8824 0.7500 0.4955  1 As 2.36, 3 Se 2.40-2.44
Ni 0.8928 0.7500 0.8318  3 As 2.33-2.35, 1 Se 2.41
As 0.1255 0.7500 0.2484  6 Ni 2.33-2.38
As 0.1317 0.7500 0.9216  8 Ni 2.32-2.37
As 0.3683 0.2500 0.4216  8 Ni 2.32-2.37
As 0.3745 0.2500 0.7484  6 Ni 2.33-2.38
As 0.6255 0.7500 0.2516  6 Ni 2.33-2.38
As 0.6317 0.7500 0.5784  8 Ni 2.32-2.37
As 0.8683 0.2500 0.0784  8 Ni 2.32-2.37
As 0.8745 0.2500 0.7516  6 Ni 2.33-2.38
Se 0.1230 0.7500 0.5929  6 Ni 2.39-2.44
Se 0.3770 0.2500 0.0929  6 Ni 2.39-2.44
Se 0.6230 0.7500 0.9071  6 Ni 2.39-2.44
Se 0.8770 0.2500 0.4071  6 Ni 2.39-2.44